Compound: LuTc2Mo
Source: Alexandria
Functional: PBE-GGA
Structure: optimized geometry

Calculated values
As for the total energy: -36.37 eV per cell. The formation energy comes out at -0.3 eV per formula unit. As for the volume: 68 Å³/cell. Its crystal system is tetragonal.

Cell lengths 3.189, 3.189, 6.695 Å; angles 90.00, 90.00, 90.00 degrees
Space group P4/mmm (No. 123)
Unique sites:
Lu1 0.000 0.000 0.000 [1 per cell]
Tc1 0.500 0.500 0.277 [2 per cell]
Mo1 0.000 0.000 0.500 [1 per cell]